(1)
Material: TaCuMo2
Method: DFT, GGA-PBE
State: relaxed

a = 3.245 Å, b = 3.245 Å, c = 5.907 Å
α = 90.00°, β = 90.00°, γ = 90.00°
Fractional coordinates of all 4 atoms:
Ta1 0.000 0.000 0.509
Mo1 0.000 0.000 0.999
Mo2 0.500 0.500 0.242
Cu1 0.500 0.500 0.750

Computed properties:
energy	-37.33	eV for the cell shown
energy relative to the lowest polymorph listed for this composition	0.0000	eV per atom
energy of formation from the pure elements	70	meV/atom



(2)
Material: TcNi2Au
Method: DFT, GGA-PBE
State: relaxed

a = 8.791 Å, b = 8.791 Å, c = 8.791 Å
α = 17.78°, β = 17.78°, γ = 17.78°
Fractional coordinates of all 4 atoms:
Ni1 0.995 0.995 0.995
Ni2 0.505 0.505 0.505
Au1 0.750 0.750 0.750
Tc1 0.250 0.250 0.250

Computed properties:
energy	-24.60	eV for the cell shown
energy relative to the lowest polymorph listed for this composition	0.1066	eV per atom
energy of formation from the pure elements	150	meV/atom



(3)
Material: HoMn2Tl3Te6
Method: DFT, GGA-PBE
State: relaxed

a = 7.310 Å, b = 7.310 Å, c = 8.360 Å
α = 98.37°, β = 98.37°, γ = 119.54°
Fractional coordinates of all 12 atoms:
Tl1 0.155 0.845 0.500
Tl2 0.845 0.155 0.500
Tl3 0.500 0.500 0.500
Te1 0.704 0.704 0.192
Te2 0.576 0.934 0.798
Te3 0.296 0.296 0.808
Te4 0.424 0.066 0.202
Te5 0.934 0.576 0.798
Te6 0.066 0.424 0.202
Mn1 0.669 0.331 0.000
Mn2 0.331 0.669 0.000
Ho1 0.000 0.000 0.000

Computed properties:
energy	-54.43	eV for the cell shown
ΔE_f (raw)	-0.46	eV/atom



(4)
Material: MgSc2P
Method: DFT, GGA-PBE
State: relaxed

a = 4.759 Å, b = 4.759 Å, c = 4.759 Å
α = 60.00°, β = 60.00°, γ = 60.00°
Fractional coordinates of all 4 atoms:
Mg1 0.000 0.000 0.000
P1 0.500 0.500 0.500
Sc1 0.250 0.250 0.250
Sc2 0.750 0.750 0.750

Computed properties:
energy	-20.89	eV for the cell shown
energy relative to the lowest polymorph listed for this composition	0.4023	eV per atom
energy of formation from the pure elements	-306	meV/atom



(5)
Material: TaCo2HPd
Method: DFT, GGA-PBE
State: relaxed

a = 3.852 Å, b = 3.852 Å, c = 3.708 Å
α = 90.00°, β = 90.00°, γ = 90.00°
Fractional coordinates of all 5 atoms:
Co1 0.500 0.000 0.000
Co2 0.000 0.500 0.000
Pd1 0.000 0.000 0.500
H1 0.000 0.000 0.000
Ta1 0.500 0.500 0.500

Computed properties:
energy	-35.39	eV for the cell shown
energy relative to the lowest polymorph listed for this composition	0.0000	eV per atom



(6)
Material: CsPaHgF6
Method: DFT, GGA-PBE
State: relaxed

a = 5.393 Å, b = 7.358 Å, c = 7.358 Å
α = 120.00°, β = 90.00°, γ = 90.00°
Fractional coordinates of all 9 atoms:
F1 0.728 0.752 0.782
F2 0.728 0.029 0.248
F3 0.272 0.752 0.971
F4 0.272 0.029 0.782
F5 0.272 0.218 0.248
F6 0.728 0.218 0.971
Pa1 0.500 0.000 0.000
Cs1 0.000 0.333 0.667
Hg1 0.500 0.667 0.333

Computed properties:
energy	-50.71	eV for the cell shown
ΔE_f (raw)	-3.20	eV/atom



(7)
Material: TbSm2Tc
Method: DFT, GGA-PBE
State: relaxed

a = 3.464 Å, b = 3.464 Å, c = 11.230 Å
α = 81.13°, β = 81.13°, γ = 60.00°
Fractional coordinates of all 4 atoms:
Tc1 0.500 0.500 0.500
Sm1 0.104 0.104 0.687
Sm2 0.896 0.896 0.313
Tb1 0.000 0.000 0.000

Computed properties:
energy	-23.05	eV for the cell shown
energy relative to the lowest polymorph listed for this composition	0.3837	eV per atom
energy of formation from the pure elements	346	meV/atom



(8)
Material: CsNa2F
Method: DFT, GGA-PBE
State: relaxed

a = 6.058 Å, b = 6.058 Å, c = 6.058 Å
α = 60.00°, β = 60.00°, γ = 60.00°
Fractional coordinates of all 4 atoms:
F1 0.000 0.000 0.000
Na1 0.750 0.750 0.750
Na2 0.250 0.250 0.250
Cs1 0.500 0.500 0.500

Computed properties:
energy	-7.50	eV for the cell shown
ΔE_f (raw)	-0.53	eV/atom